The following is a DFT calculation (GGA+U) of Rb2FePF after structural relaxation.

Cell lengths 5.552, 5.552, 4.481 Å; angles 90.00, 90.00, 90.00 degrees
Positions (direct):
P: 0.500 0.500 0.500
Fe: 0.000 0.000 0.500
Rb: 0.000 0.500 0.000
Rb: 0.500 0.000 0.000
F: 0.000 0.000 0.000

Calculated values
* electronic total energy: -3.36 eV/atom
* D(E_F): 1.4 states/eV per cell
* total magnetization: 4.47 μB per cell